# 1
4
Lattice="2.850 0.000 0.000 0.000 2.850 0.000 0.000 0.000 8.512" Properties=species:S:1:pos:R:3 comment="ScAl2Mo (PBE, optimized geometry)" e_above_lowest_polymorph_mev_per_atom=290 ef_ev_per_atom=-0.03 pbc="T T T"
Sc 0.000 0.000 0.000
Al 0.000 0.000 4.341
Al 1.425 1.425 2.294
Mo 1.425 1.425 6.277

=====

# 2
3
Lattice="3.008 0.000 0.000 -1.504 2.605 0.000 0.000 0.000 6.935" Properties=species:S:1:pos:R:3 comment="ScAlMo (PBE, optimized geometry)" e_above_lowest_polymorph_mev_per_atom=405 ef_ev_per_atom=0.08 pbc="T T T"
Sc 0.000 0.000 0.000
Al 1.504 0.868 2.488
Mo 0.000 1.737 4.615

=====

# 3
4
Lattice="2.740 0.000 0.000 0.000 4.438 0.000 0.000 0.000 5.577" Properties=species:S:1:pos:R:3 comment="ScAlMo2 (PBE, optimized geometry)" ef_ev_per_atom=0.08 pbc="T T T"
Sc 0.000 0.000 0.000
Al 0.000 0.000 2.789
Mo 1.370 2.219 1.473
Mo 1.370 2.219 4.104

=====

# 4
4
Lattice="2.835 0.000 0.000 0.000 4.136 0.000 0.000 0.000 5.773" Properties=species:S:1:pos:R:3 comment="ScAl2Mo (PBE, optimized geometry)" e_above_lowest_polymorph_mev_per_atom=43 ef_ev_per_atom=-0.28 pbc="T T T"
Sc 0.000 0.000 0.000
Al 1.418 2.068 1.570
Al 1.418 2.068 4.203
Mo 0.000 0.000 2.886

=====

> Number 4 is which compound?

ScAl2Mo